[1]
Entry from Alexandria: crystalline Np2Si2Ge at its relaxed geometry (PBE).

extended XYZ file:
```
20
Lattice="6.7022 0.0000 0.0000 0.0000 6.7022 0.0000 0.0000 0.0000 8.6738" Properties=species:S:1:pos:R:3 pbc="T T T"
Np 4.5186 5.5347 4.3369
Np 2.1836 1.1675 4.3369
Np 5.5347 2.1836 0.0000
Np 1.1675 4.5186 0.0000
Np 5.5347 2.1836 4.3369
Np 1.1675 4.5186 4.3369
Np 2.1836 1.1675 0.0000
Np 4.5186 5.5347 0.0000
Si 2.5175 5.8686 2.1684
Si 4.1848 0.8337 2.1684
Si 0.8337 2.5175 6.5053
Si 5.8686 4.1848 6.5053
Si 5.8686 4.1848 2.1684
Si 0.8337 2.5175 2.1684
Si 2.5175 5.8686 6.5053
Si 4.1848 0.8337 6.5053
Ge 3.3511 3.3511 2.1680
Ge 0.0000 0.0000 6.5049
Ge 3.3511 3.3511 6.5057
Ge 0.0000 0.0000 2.1689
```

Formation energy from raw total energies, eV per atom: -0.1818

[2]
Entry from Alexandria: crystalline SmNpGe2 at its relaxed geometry (PBE).

extended XYZ file:
```
4
Lattice="-0.8802 -2.0115 2.4809 3.0010 -1.4018 -0.0718 2.7081 5.5190 5.4355" Properties=species:S:1:pos:R:3 pbc="T T T"
Np 1.0604 -1.7066 1.2045
Ge 2.0473 4.1723 4.1092
Ge 0.6608 1.3467 1.3263
Sm 2.4144 1.0528 3.9223
```

Energy relative to the lowest polymorph listed for this composition, eV/f.u.: 0.00
ΔE_f, eV per atom: -0.366

[3]
Entry from Alexandria: crystalline SmNpGe2 at its relaxed geometry (PBE).

extended XYZ file:
```
4
Lattice="4.7727 0.0000 0.0000 2.3864 4.1333 0.0000 2.3864 1.3778 4.8608" Properties=species:S:1:pos:R:3 pbc="T T T"
Np 4.7727 2.7555 2.4304
Ge 7.1591 4.1333 3.5563
Ge 2.3864 1.3778 1.3045
Sm 0.0000 0.0000 0.0000
```

Energy relative to the lowest polymorph listed for this composition, eV/f.u.: 0.32
ΔE_f, eV per atom: -0.286